Computed, not measured: a crystal of La2SnHg2 relaxed with PBEsol at the meta-GGA SCAN level of DFT.

Cell and atoms, written as CIF:
```
data_La2SnHg2
_chemical_formula_sum 'La4 Sn2 Hg4'
_symmetry_space_group_name_H-M 'P 1'
_symmetry_Int_Tables_number 1
_cell_length_a 7.7320
_cell_length_b 7.7320
_cell_length_c 4.6354
_cell_angle_alpha 90.00
_cell_angle_beta 90.00
_cell_angle_gamma 90.00
loop_
_symmetry_equiv_pos_as_xyz
'x,y,z'
loop_
_atom_site_label
_atom_site_fract_x
_atom_site_fract_y
_atom_site_fract_z
La1 0.1730 0.3270 0.0000
La2 0.3270 0.8270 0.0000
La3 0.6730 0.1730 0.0000
La4 0.8270 0.6730 0.0000
Sn1 0.0000 0.0000 0.5000
Sn2 0.5000 0.5000 0.5000
Hg1 0.1297 0.6297 0.5000
Hg2 0.3703 0.1297 0.5000
Hg3 0.6297 0.8703 0.5000
Hg4 0.8703 0.3703 0.5000
```

Results
* uncorrected energy: -524.36 eV per cell
* Fermi-level density of states: 0.61 states/eV per atom
* SG: P4/mbm, No. 127

Computed, not measured: a crystal of La2SnHg relaxed with PBEsol at the meta-GGA SCAN level of DFT.

Cell and atoms, written as CIF:
```
data_La2SnHg
_chemical_formula_sum 'La2 Sn1 Hg1'
_symmetry_space_group_name_H-M 'P 1'
_symmetry_Int_Tables_number 1
_cell_length_a 5.4573
_cell_length_b 5.4573
_cell_length_c 5.4573
_cell_angle_alpha 60.00
_cell_angle_beta 60.00
_cell_angle_gamma 60.00
loop_
_symmetry_equiv_pos_as_xyz
'x,y,z'
loop_
_atom_site_label
_atom_site_fract_x
_atom_site_fract_y
_atom_site_fract_z
La1 0.2500 0.2500 0.2500
La2 0.7500 0.7500 0.7500
Sn1 0.0000 0.0000 0.0000
Hg1 0.5000 0.5000 0.5000
```

Results
* uncorrected energy: -193.50 eV per cell
* Fermi-level density of states: 0.84 states/eV per atom
* SG: Fm-3m, No. 225

Computed, not measured: a crystal of LaSnHg3 relaxed with PBEsol at the meta-GGA SCAN level of DFT.

Cell and atoms, written as CIF:
```
data_LaSnHg3
_chemical_formula_sum 'La1 Sn1 Hg3'
_symmetry_space_group_name_H-M 'P 1'
_symmetry_Int_Tables_number 1
_cell_length_a 5.3404
_cell_length_b 5.3404
_cell_length_c 5.3404
_cell_angle_alpha 90.00
_cell_angle_beta 90.00
_cell_angle_gamma 90.00
loop_
_symmetry_equiv_pos_as_xyz
'x,y,z'
loop_
_atom_site_label
_atom_site_fract_x
_atom_site_fract_y
_atom_site_fract_z
La1 0.0000 0.0000 0.0000
Sn1 0.5000 0.5000 0.5000
Hg1 0.0000 0.5000 0.5000
Hg2 0.5000 0.0000 0.5000
Hg3 0.5000 0.5000 0.0000
```

Results
* uncorrected energy: -283.31 eV per cell
* Fermi-level density of states: 0.72 states/eV per atom
* SG: Pm-3m, No. 221